Compound: LiFeF4
Source: Alexandria
Functional: PBE with a Hubbard U
Structure: optimized geometry

a = 10.0649 Å, b = 10.0649 Å, c = 6.0311 Å
α = 90.00°, β = 90.00°, γ = 90.00°
Space group I-42d (No. 122)
Asymmetric unit:
Li 0.0445 0.2500 0.1250 [8 per cell]
Fe 0.0523 0.7500 0.6250 [8 per cell]
F 0.0883 0.6727 0.3400 [16 per cell]
F 0.0956 0.1635 0.4651 [16 per cell]

Total magnetic moment: 4.99 μB/f.u.
N(E_F): 0.00 states/eV per atom
Mass density: 3.0 g/cm3
DFT total energy: -5.086 eV per atom